The following is a DFT calculation (PBE-GGA) of a relaxed CrCd2W crystal.

Geometry as CIF:
```
data_CrCd2W
_space_group_name_H-M_alt 'P 1 m 1'
_space_group_IT_number 6
_cell_length_a 3.144
_cell_length_b 3.136
_cell_length_c 7.187
_cell_angle_alpha 90.00
_cell_angle_beta 90.41
_cell_angle_gamma 90.00
loop_
_space_group_symop_operation_xyz
'x,y,z'
'x,-y,z'
loop_
_atom_site_label
_atom_site_fract_x
_atom_site_fract_y
_atom_site_fract_z
_atom_site_occupancy
Cr1 0.000 0.000 0.000 1
Cd1 0.018 0.000 0.558 1
Cd2 0.513 0.500 0.265 1
W1 0.532 0.500 0.844 1
```

Results
relative energy among the computed polymorphs	0.06	eV per formula unit
DFT formation energy	386.3	meV/atom
size of the total moment	0.0008	μB per atom
Fermi-level density of states	0.599	states/eV/atom

The following is a DFT calculation (PBE-GGA) of a relaxed KAs3Se crystal.

Geometry as CIF:
```
data_KAs3Se
_space_group_name_H-M_alt 'P m -3 m'
_space_group_IT_number 221
_space_group_name_Hall '-P 4 2 3'
_cell_length_a 5.551
_cell_length_b 5.551
_cell_length_c 5.551
_cell_angle_alpha 90.00
_cell_angle_beta 90.00
_cell_angle_gamma 90.00
loop_
_atom_site_label
_atom_site_fract_x
_atom_site_fract_y
_atom_site_fract_z
_atom_site_occupancy
K1 0.000 0.000 0.000 1
As1 0.000 0.000 0.500 1
Se1 0.500 0.500 0.500 1
```

Results
relative energy among the computed polymorphs	6.70	eV per formula unit
size of the total moment	0.5860	μB per atom
Fermi-level density of states	1.767	states/eV/atom

The following is a DFT calculation (PBE-GGA) of a relaxed ErTm3Mg crystal.

Geometry as CIF:
```
data_ErTm3Mg
_space_group_name_H-M_alt 'P 1 21/m 1'
_space_group_IT_number 11
_cell_length_a 6.481
_cell_length_b 5.402
_cell_length_c 8.437
_cell_angle_alpha 90.00
_cell_angle_beta 103.42
_cell_angle_gamma 90.00
loop_
_space_group_symop_operation_xyz
'x,y,z'
'-x,-y,-z'
'-x,y+1/2,-z'
'x,-y+1/2,z'
loop_
_atom_site_label
_atom_site_fract_x
_atom_site_fract_y
_atom_site_fract_z
_atom_site_occupancy
Er1 0.123 0.250 0.066 1
Tm1 0.040 0.750 0.354 1
Tm2 0.376 0.250 0.439 1
Tm3 0.459 0.750 0.144 1
Mg1 0.253 0.750 0.748 1
```

Results
relative energy among the computed polymorphs	0.00	eV per formula unit
DFT formation energy	27.1	meV/atom
size of the total moment	0.0000	μB per atom
Fermi-level density of states	1.436	states/eV/atom

The following is a DFT calculation (PBE-GGA) of a relaxed AlGaTe crystal.

Geometry as CIF:
```
data_AlGaTe
_space_group_name_H-M_alt 'P -1'
_space_group_IT_number 2
_cell_length_a 3.970
_cell_length_b 5.213
_cell_length_c 8.954
_cell_angle_alpha 99.07
_cell_angle_beta 90.41
_cell_angle_gamma 110.00
loop_
_space_group_symop_operation_xyz
'x,y,z'
'-x,-y,-z'
loop_
_atom_site_label
_atom_site_fract_x
_atom_site_fract_y
_atom_site_fract_z
_atom_site_occupancy
Al1 0.125 0.239 0.117 1
Ga1 0.394 0.775 0.101 1
Te1 0.368 0.768 0.673 1
```

Results
energy	-3.371	eV/atom
size of the total moment	0.0000	μB per atom
Fermi-level density of states	0.267	states/eV/atom

The following is a DFT calculation (PBE-GGA) of a relaxed Mg2MnBr crystal.

Geometry as CIF:
```
data_Mg2MnBr
_space_group_name_H-M_alt 'I m m m'
_space_group_IT_number 71
_space_group_name_Hall '-I 2 2'
_cell_length_a 3.343
_cell_length_b 5.642
_cell_length_c 9.546
_cell_angle_alpha 90.00
_cell_angle_beta 90.00
_cell_angle_gamma 90.00
loop_
_atom_site_label
_atom_site_fract_x
_atom_site_fract_y
_atom_site_fract_z
_atom_site_occupancy
Mg1 0.000 0.000 0.245 1
Mn1 0.000 0.500 0.000 1
Br1 0.000 0.500 0.500 1
```

Results
relative energy among the computed polymorphs	0.95	eV per formula unit
size of the total moment	1.0361	μB per atom
Fermi-level density of states	0.455	states/eV/atom

The following is a DFT calculation (PBE-GGA) of a relaxed PrAgAu2 crystal.

Geometry as CIF:
```
data_PrAgAu2
_space_group_name_H-M_alt 'P 4/m m m'
_space_group_IT_number 123
_space_group_name_Hall '-P 4 2'
_cell_length_a 4.743
_cell_length_b 4.743
_cell_length_c 4.007
_cell_angle_alpha 90.00
_cell_angle_beta 90.00
_cell_angle_gamma 90.00
loop_
_atom_site_label
_atom_site_fract_x
_atom_site_fract_y
_atom_site_fract_z
_atom_site_occupancy
Pr1 0.000 0.000 0.000 1
Ag1 0.500 0.500 0.000 1
Au1 0.000 0.500 0.500 1
```

Results
DFT formation energy	-382.8	meV/atom
size of the total moment	0.0000	μB per atom
Fermi-level density of states	0.677	states/eV/atom

The following is a DFT calculation (PBE-GGA) of a relaxed DyZrO crystal.

Geometry as CIF:
```
data_DyZrO
_space_group_name_H-M_alt 'C m c m'
_space_group_IT_number 63
_space_group_name_Hall '-C 2c 2'
_cell_length_a 3.710
_cell_length_b 20.758
_cell_length_c 3.462
_cell_angle_alpha 90.00
_cell_angle_beta 90.00
_cell_angle_gamma 90.00
loop_
_atom_site_label
_atom_site_fract_x
_atom_site_fract_y
_atom_site_fract_z
_atom_site_occupancy
Dy1 0.000 0.079 0.250 1
Zr1 0.000 0.305 0.250 1
O1 0.000 0.368 0.750 1
```

Results
energy	-7.716	eV/atom
size of the total moment	0.0000	μB per atom
Fermi-level density of states	0.830	states/eV/atom

The following is a DFT calculation (PBE-GGA) of a relaxed Li2Hg2Au crystal.

Geometry as CIF:
```
data_Li2Hg2Au
_space_group_name_H-M_alt 'P 4/m b m'
_space_group_IT_number 127
_space_group_name_Hall '-P 4 2ab'
_cell_length_a 7.629
_cell_length_b 7.629
_cell_length_c 3.215
_cell_angle_alpha 90.00
_cell_angle_beta 90.00
_cell_angle_gamma 90.00
loop_
_atom_site_label
_atom_site_fract_x
_atom_site_fract_y
_atom_site_fract_z
_atom_site_occupancy
Li1 0.164 0.336 0.000 1
Hg1 0.137 0.637 0.500 1
Au1 0.000 0.000 0.500 1
```

Results
relative energy among the computed polymorphs	0.32	eV per formula unit
DFT formation energy	-279.0	meV/atom
size of the total moment	0.0000	μB per atom
Fermi-level density of states	0.361	states/eV/atom

The following is a DFT calculation (PBE-GGA) of a relaxed NbGeRuO2 crystal.

Geometry as CIF:
```
data_NbGeRuO2
_space_group_name_H-M_alt 'P 4/m m m'
_space_group_IT_number 123
_space_group_name_Hall '-P 4 2'
_cell_length_a 3.712
_cell_length_b 3.712
_cell_length_c 5.849
_cell_angle_alpha 90.00
_cell_angle_beta 90.00
_cell_angle_gamma 90.00
loop_
_atom_site_label
_atom_site_fract_x
_atom_site_fract_y
_atom_site_fract_z
_atom_site_occupancy
Nb1 0.000 0.000 0.000 1
Ge1 0.500 0.500 0.000 1
Ru1 0.000 0.000 0.500 1
O1 0.000 0.500 0.500 1
```

Results
energy	-7.042	eV/atom
size of the total moment	0.0000	μB per atom
Fermi-level density of states	0.591	states/eV/atom

The following is a DFT calculation (PBE-GGA) of a relaxed LaDyCdGa crystal.

Geometry as CIF:
```
data_LaDyCdGa
_space_group_name_H-M_alt 'F -4 3 m'
_space_group_IT_number 216
_space_group_name_Hall 'F -4 2 3'
_cell_length_a 7.534
_cell_length_b 7.534
_cell_length_c 7.534
_cell_angle_alpha 90.00
_cell_angle_beta 90.00
_cell_angle_gamma 90.00
loop_
_atom_site_label
_atom_site_fract_x
_atom_site_fract_y
_atom_site_fract_z
_atom_site_occupancy
La1 0.000 0.000 0.000 1
Dy1 0.000 0.000 0.500 1
Cd1 0.250 0.250 0.750 1
Ga1 0.250 0.250 0.250 1
```

Results
relative energy among the computed polymorphs	0.11	eV per formula unit
DFT formation energy	-432.1	meV/atom
size of the total moment	0.0000	μB per atom
Fermi-level density of states	1.119	states/eV/atom

The following is a DFT calculation (PBE-GGA) of a relaxed SrGa2HgBr8 crystal.

Geometry as CIF:
```
data_SrGa2HgBr8
_space_group_name_H-M_alt 'R -3'
_space_group_IT_number 148
_space_group_name_Hall '-R 3'
_cell_length_a 7.0392
_cell_length_b 7.0392
_cell_length_c 35.8732
_cell_angle_alpha 90.00
_cell_angle_beta 90.00
_cell_angle_gamma 120.00
loop_
_atom_site_label
_atom_site_fract_x
_atom_site_fract_y
_atom_site_fract_z
_atom_site_occupancy
Sr1 0.0000 0.0000 0.0000 1
Ga1 0.0000 0.0000 0.2582 1
Hg1 0.0000 0.0000 0.5000 1
Br1 0.0000 0.0000 0.1944 1
Br2 0.0043 0.3609 0.9492 1
```

Results
energy	-2.840	eV/atom
size of the total moment	0.0000	μB per atom
Fermi-level density of states	0.000	states/eV/atom

The following is a DFT calculation (PBE-GGA) of a relaxed Ti2AgPd2 crystal.

Geometry as CIF:
```
data_Ti2AgPd2
_space_group_name_H-M_alt 'P 4/m b m'
_space_group_IT_number 127
_space_group_name_Hall '-P 4 2ab'
_cell_length_a 7.750
_cell_length_b 7.750
_cell_length_c 2.815
_cell_angle_alpha 90.00
_cell_angle_beta 90.00
_cell_angle_gamma 90.00
loop_
_atom_site_label
_atom_site_fract_x
_atom_site_fract_y
_atom_site_fract_z
_atom_site_occupancy
Ti1 0.154 0.346 0.000 1
Ag1 0.000 0.000 0.000 1
Pd1 0.140 0.640 0.500 1
```

Results
relative energy among the computed polymorphs	0.53	eV per formula unit
DFT formation energy	-264.4	meV/atom
size of the total moment	0.0000	μB per atom
Fermi-level density of states	1.103	states/eV/atom

The following is a DFT calculation (PBE-GGA) of a relaxed Tb3DyC crystal.

Geometry as CIF:
```
data_Tb3DyC
_space_group_name_H-M_alt 'P m -3 m'
_space_group_IT_number 221
_space_group_name_Hall '-P 4 2 3'
_cell_length_a 5.076
_cell_length_b 5.076
_cell_length_c 5.076
_cell_angle_alpha 90.00
_cell_angle_beta 90.00
_cell_angle_gamma 90.00
loop_
_atom_site_label
_atom_site_fract_x
_atom_site_fract_y
_atom_site_fract_z
_atom_site_occupancy
Tb1 0.000 0.000 0.500 1
Dy1 0.500 0.500 0.500 1
C1 0.000 0.000 0.000 1
```

Results
DFT formation energy	3.9	meV/atom
size of the total moment	0.0001	μB per atom
Fermi-level density of states	1.223	states/eV/atom